The following is a DFT calculation (PBEsol) of a relaxed structure of LaY2Cu.

```
4
Lattice="-1.7941 2.6933 5.5284 1.7941 -2.6933 5.5284 1.7941 2.6933 -5.5284" Properties=species:S:1:pos:R:3 pbc="T T T"
La 0.0000 0.0000 0.0000
Y 1.7941 0.0000 3.2560
Y 0.0000 2.6933 2.2724
Cu 0.0000 0.0000 5.5284
```

Properties
Formation energy from the elements ... -22.3 meV per atom
M_tot ... 0.00 μB per formula unit
Polymorph energy (0 for the lowest one) ... 0.056 eV per atom